DFT (PBE) results for a relaxed PrErMgBe crystal.

* theoretical density: 5.82 g/cm³
* energy of formation from the pure elements: 0.11 eV/atom
* space-group type: F-43m

Unit cell a=5.1645 b=5.1645 c=5.1645 alpha=60.00 beta=60.00 gamma=60.00
Sites, in units of the cell vectors:
1 Pr 0.7500 0.7500 0.7500
2 Er 0.2500 0.2500 0.2500
3 Be 0.0000 0.0000 0.0000
4 Mg 0.5000 0.5000 0.5000

DFT (PBE) results for a relaxed PmAl11Re crystal.

* theoretical density: 4.64 g/cm³
* energy of formation from the pure elements: -0.21 eV/atom
* space-group type: C2/m

Unit cell a=5.2941 b=7.1598 c=6.8869 alpha=81.98 beta=67.40 gamma=68.72
Sites, in units of the cell vectors:
1 Al 0.2837 0.2237 0.2175
2 Al 0.7163 0.7763 0.7825
3 Al 0.0000 0.5000 0.0000
4 Al 0.3664 0.6396 0.6533
5 Al 0.5000 0.0000 0.5000
6 Al 0.5012 0.2237 0.7825
7 Al 0.6336 0.3604 0.3467
8 Pm 0.0000 0.0000 0.0000
9 Al 0.0000 0.0000 0.5000
10 Al 0.4988 0.7763 0.2175
11 Al 0.0197 0.6396 0.3467
12 Re 0.5000 0.5000 0.0000
13 Al 0.9803 0.3604 0.6533

DFT (PBE) results for a relaxed Zn3Cu7Ge crystal.

* theoretical density: 7.58 g/cm³
* energy of formation from the pure elements: 0.11 eV/atom
* space-group type: C2/m

Unit cell a=4.5960 b=6.4446 c=6.4446 alpha=85.16 beta=114.77 gamma=114.77
Sites, in units of the cell vectors:
1 Cu 0.3309 0.0660 0.5862
2 Cu 0.6206 0.7805 0.7805
3 Cu 0.3794 0.2195 0.2195
4 Cu 0.0000 0.5000 0.5000
5 Zn 0.5000 0.0000 0.0000
6 Cu 0.3309 0.5862 0.0660
7 Zn 0.0000 0.2040 0.7960
8 Zn 0.0000 0.7960 0.2040
9 Cu 0.6691 0.4138 0.9340
10 Ge 0.5000 0.5000 0.5000
11 Cu 0.6691 0.9340 0.4138

DFT (PBE) results for a relaxed RbTlInCl3 crystal.

* formation energy without anion corrections: -7.37 eV/f.u.
* theoretical density: 4.04 g/cm³
* space-group type: C2/m

Unit cell a=4.6961 b=9.8897 c=9.9107 alpha=109.34 beta=90.00 gamma=103.73
Sites, in units of the cell vectors:
1 In 0.9935 0.9870 0.6677
2 Cl 0.8452 0.6904 0.1954
3 Cl 0.5071 0.0141 0.1782
4 Tl 0.6564 0.3127 0.5530
5 Rb 0.3438 0.6876 0.9281
6 Cl 0.1832 0.3664 0.3340
7 Rb 0.6562 0.3124 0.0719
8 Cl 0.1548 0.3096 0.8046
9 Cl 0.8168 0.6336 0.6660
10 Tl 0.3436 0.6873 0.4470
11 In 0.0065 0.0130 0.3323
12 Cl 0.4929 0.9859 0.8218

DFT (PBE) results for a relaxed Pm2PaPt crystal.

* theoretical density: 11.08 g/cm³
* energy of formation from the pure elements: 0.20 eV/atom
* space-group type: R-3m
* offset from the most stable computed form: 0.558 eV per atom

Unit cell a=3.3314 b=3.3314 c=11.3338 alpha=81.55 beta=81.55 gamma=60.00
Sites, in units of the cell vectors:
1 Pa 0.5000 0.5000 0.5000
2 Pm 0.9191 0.9191 0.2427
3 Pt 0.0000 0.0000 0.0000
4 Pm 0.0809 0.0809 0.7573

DFT (PBE) results for a relaxed OsRhSCl2 crystal.

* formation energy without anion corrections: 5.74 eV/f.u.
* theoretical density: 6.31 g/cm³
* space-group type: P4/mmm
* offset from the most stable computed form: 0.271 eV per atom

Unit cell a=4.7120 b=4.7120 c=4.6929 alpha=90.00 beta=90.00 gamma=90.00
Sites, in units of the cell vectors:
1 S 0.0000 0.0000 0.5000
2 Cl 0.0000 0.5000 0.0000
3 Cl 0.5000 0.0000 0.0000
4 Os 0.5000 0.5000 0.5000
5 Rh 0.0000 0.0000 0.0000

DFT (PBE) results for a relaxed DyZnGa3Ag crystal.

* theoretical density: 7.44 g/cm³
* energy of formation from the pure elements: -0.11 eV/atom
* space-group type: Cmcm

Unit cell a=6.4174 b=5.6658 c=7.2656 alpha=112.95 beta=90.00 gamma=90.00
Sites, in units of the cell vectors:
1 Ga 0.5000 0.7235 0.0000
2 Zn 0.2500 0.8893 0.7786
3 Ga 0.0000 0.7235 0.0000
4 Zn 0.7500 0.1107 0.2214
5 Ga 0.2500 0.1205 0.2410
6 Ga 0.0000 0.2765 0.0000
7 Ga 0.5000 0.2765 0.0000
8 Ag 0.7500 0.6714 0.3428
9 Ga 0.7500 0.8795 0.7590
10 Ag 0.2500 0.3286 0.6572
11 Dy 0.7500 0.3221 0.6441
12 Dy 0.2500 0.6779 0.3559

DFT (PBE) results for a relaxed CuPbCl2 crystal.

* formation energy without anion corrections: -1.73 eV/f.u.
* theoretical density: 4.99 g/cm³
* space-group type: Imm2
* offset from the most stable computed form: 0.071 eV per atom

Unit cell a=6.4373 b=6.4373 c=6.4373 alpha=145.34 beta=130.72 gamma=61.65
Sites, in units of the cell vectors:
1 Cl 0.6489 0.1489 0.5000
2 Cu 0.5453 0.5453 0.0000
3 Pb 0.3631 0.8631 0.5000
4 Cl 0.9428 0.9428 0.0000

DFT (PBE) results for a relaxed LiLaBe2 crystal.

* theoretical density: 3.66 g/cm³
* energy of formation from the pure elements: 0.25 eV/atom
* space-group type: Imm2
* offset from the most stable computed form: 0.052 eV per atom

Unit cell a=4.8920 b=4.8920 c=4.8920 alpha=132.01 beta=117.57 gamma=82.41
Sites, in units of the cell vectors:
1 Be 0.1648 0.6648 0.5000
2 Be 0.0629 0.0629 0.0000
3 La 0.4793 0.4793 0.0000
4 Li 0.7930 0.2930 0.5000

DFT (PBE) results for a relaxed Cs2Ca2Au crystal.

* theoretical density: 3.63 g/cm³
* energy of formation from the pure elements: -0.05 eV/atom
* space-group type: P4/mbm

Unit cell a=8.1086 b=8.1086 c=7.5622 alpha=90.00 beta=90.00 gamma=90.00
Sites, in units of the cell vectors:
1 Ca 0.1784 0.3216 0.0000
2 Cs 0.6861 0.8139 0.5000
3 Cs 0.1861 0.6861 0.5000
4 Au 0.5000 0.5000 0.0000
5 Cs 0.8139 0.3139 0.5000
6 Ca 0.6784 0.1784 0.0000
7 Au 0.0000 0.0000 0.0000
8 Cs 0.3139 0.1861 0.5000
9 Ca 0.3216 0.8216 0.0000
10 Ca 0.8216 0.6784 0.0000

DFT (PBE) results for a relaxed RbSmSb2 crystal.

* formation energy without anion corrections: -1.94 eV/f.u.
* theoretical density: 5.04 g/cm³
* space-group type: R-3m

Unit cell a=4.5587 b=4.5587 c=9.1579 alpha=75.59 beta=75.59 gamma=60.00
Sites, in units of the cell vectors:
1 Sm 0.0000 0.0000 0.0000
2 Sb 0.7317 0.7317 0.8049
3 Rb 0.5000 0.5000 0.5000
4 Sb 0.2683 0.2683 0.1951

DFT (PBE) results for a relaxed Co2CuOs crystal.

* theoretical density: 12.69 g/cm³
* energy of formation from the pure elements: 0.24 eV/atom
* space-group type: P4mm
* offset from the most stable computed form: 0.088 eV per atom

Unit cell a=2.5992 b=2.5992 c=7.1960 alpha=90.00 beta=90.00 gamma=90.00
Sites, in units of the cell vectors:
1 Cu 0.0000 0.0000 0.4889
2 Co 0.0000 0.0000 0.0078
3 Co 0.5000 0.5000 0.2408
4 Os 0.5000 0.5000 0.7625